This record from Alexandria via LeMat-Bulk describes a geometry-optimized MgAsW2 structure. The functional is PBEsol.

DOS at the Fermi energy: 0.54 states/eV per atom
ΔE_f: 0.188 eV per atom
crystal system: tetragonal

Cell lengths 3.2214, 3.2214, 6.3145 Å; angles 90.00, 90.00, 90.00 degrees
Sites, in units of the cell vectors:
1 Mg 0.0000 0.0000 0.0000
2 As 0.5000 0.5000 0.7234
3 W 0.0000 0.0000 0.5014
4 W 0.5000 0.5000 0.2745